Computed, not measured: an optimized crystal structure of Pu2HfN3 at the PBE-GGA level of DFT.

The structure in POSCAR format:
```
Pu2HfN3
1.0
-1.697 1.697 7.198
1.697 -1.697 7.198
1.697 1.697 -7.198
Pu Hf N
2 1 3
Direct
0.664 0.664 0.000
0.336 0.336 0.000
0.000 0.000 0.000
0.500 0.500 0.000
0.843 0.843 0.000
0.157 0.157 0.000
```

Properties
The value obtained for the formation energy from raw total energies is -8.39 eV/f.u. The calculation puts the density of states at the Fermi level at 2.117 states/eV/atom. The calculation puts the offset from the most stable computed form at 0.012 eV per atom. The calculated density is 14.18 g/cm3. As for the energy: -12.00 eV per atom.

---

Computed, not measured: an optimized crystal structure of LaMgNiAg at the PBE-GGA level of DFT.

The structure in POSCAR format:
```
LaMgNiAg
1.0
4.964 0.000 0.000
2.482 4.299 0.000
2.482 1.433 4.053
Ni Mg Ag La
1 1 1 1
Direct
0.500 0.500 0.500
0.250 0.250 0.250
0.000 0.000 0.000
0.750 0.750 0.750
```

Properties
The formation enthalpy at 0 K comes out at -170 meV per atom. The calculation puts the density of states at the Fermi level at 0.844 states/eV/atom. The calculated density is 6.33 g/cm3. As for the energy: -3.96 eV per atom.

---

Computed, not measured: an optimized crystal structure of NaErSc4O8 at the PBE-GGA level of DFT.

The structure in POSCAR format:
```
NaErSc4O8
1.0
6.380 0.000 0.000
3.190 5.525 0.000
3.190 1.842 5.225
Na Er Sc O
1 1 4 8
Direct
0.999 0.999 0.003
0.380 0.380 0.859
0.620 0.620 0.141
0.001 0.498 0.501
0.498 0.001 0.501
0.001 0.001 0.501
0.251 0.785 0.712
0.785 0.251 0.712
0.251 0.251 0.712
0.240 0.240 0.280
0.742 0.235 0.282
0.235 0.742 0.282
0.742 0.742 0.282
0.756 0.756 0.731
```

Properties
The value obtained for the formation energy from raw total energies is -45.77 eV/f.u. The calculation puts the density of states at the Fermi level at 0.000 states/eV/atom. The calculated density is 4.49 g/cm3. As for the energy: -8.33 eV per atom.